# Nb2SbN (GGA-PBE, optimized geometry)
# - Total energy: -69.30 eV for the cell shown
# - Spin magnetization: 0.00 μB/f.u.
# - V: 15.844 Å³/atom
data_Nb2SbN
_chemical_formula_sum 'Nb4 Sb2 N2'
_cell_length_a 3.3445
_cell_length_b 3.3445
_cell_length_c 13.0848
_cell_angle_alpha 90.00
_cell_angle_beta 90.00
_cell_angle_gamma 120.00
_symmetry_space_group_name_H-M 'P 63/m m c'
_symmetry_Int_Tables_number 194
_symmetry_space_group_name_Hall '-P 6c 2c'
loop_
_atom_site_label
_atom_site_type_symbol
_atom_site_fract_x
_atom_site_fract_y
_atom_site_fract_z
Nb1 Nb 0.3333 0.6667 0.0829
Sb1 Sb 0.3333 0.6667 0.7500
N1 N 0.0000 0.0000 0.0000